Material: YMg2Zr
Method: DFT, PBE
State: relaxed

Cell: 3.2216 4.9366 6.4527 Å, 90.00 104.36 90.00°
Closest atoms and distances in Å follow each position.
Sites, in units of the cell vectors:
Y  0.0000  0.0000  0.0000  7 Mg 3.15-3.50, 2 Y 3.22, 4 Zr 3.45
Mg  0.2575  0.0000  0.5033  4 Mg 2.94-3.22, 1 Y 3.15, 4 Zr 3.24-3.25
Mg  0.3782  0.5000  0.7602  4 Mg 2.94-3.22, 1 Zr 3.29
Zr  0.6449  0.5000  0.2867  2 Zr 3.22, 7 Mg 3.24-3.37, 4 Y 3.45

Values from the calculation:
* formation energy from the elements: 68.5 meV/atom
* magnetization: 0.0 μB per formula unit
* space group: No. 6

Material: YMg2Zr
Method: DFT, PBE
State: relaxed

Cell: 6.3277 6.3277 3.0956 Å, 100.15 100.15 121.04°
Closest atoms and distances in Å follow each position.
Sites, in units of the cell vectors:
Y  0.0000  0.0000  0.0000  2 Y 3.10, 2 Zr 3.11, 4 Mg 3.27
Mg  0.0000  0.5000  0.5000  4 Mg 3.10-3.11, 2 Zr 3.27, 2 Y 3.27
Mg  0.5000  0.0000  0.5000  4 Mg 3.10-3.11, 2 Zr 3.27, 2 Y 3.27
Zr  0.5000  0.5000  0.0000  2 Zr 3.10, 2 Y 3.11, 4 Mg 3.27

Values from the calculation:
* formation energy from the elements: 122.6 meV/atom
* magnetization: 0.0 μB per formula unit
* space group: No. 12

Material: Y2MgZr
Method: DFT, PBE
State: relaxed

Cell: 3.4481 3.4481 9.2776 Å, 90.00 90.00 90.00°
Closest atoms and distances in Å follow each position.
Sites, in units of the cell vectors:
Y  0.0000  0.0000  0.2456  4 Zr 3.34, 4 Mg 3.39, 4 Y 3.45
Y  0.0000  0.0000  0.7544  4 Zr 3.34, 4 Mg 3.39, 4 Y 3.45
Mg  0.5000  0.5000  0.5000  8 Y 3.39, 4 Mg 3.45
Zr  0.5000  0.5000  0.0000  8 Y 3.34, 4 Zr 3.45

Values from the calculation:
* formation energy from the elements: -10.5 meV/atom
* magnetization: 0.0 μB per formula unit
* space group: No. 123

Material: YMg2Zr
Method: DFT, PBE
State: relaxed

Cell: 5.1664 5.1664 5.1664 Å, 60.00 60.00 60.00°
Closest atoms and distances in Å follow each position.
Sites, in units of the cell vectors:
Y  0.0000  0.0000  0.0000  8 Mg 3.16
Mg  0.2500  0.2500  0.2500  4 Zr 3.16, 4 Y 3.16
Mg  0.7500  0.7500  0.7500  4 Zr 3.16, 4 Y 3.16
Zr  0.5000  0.5000  0.5000  8 Mg 3.16

Values from the calculation:
* formation energy from the elements: 31.0 meV/atom
* magnetization: 0.0 μB per formula unit
* space group: No. 225

> What is the formation energy from the elements in the third record?

-10.5 meV/atom

> What is the formula in the second record?

YMg2Zr

> Which formula does entry 1 have?

YMg2Zr